Record 1
VASP calculation (PBE) on Na2InGaH after structural relaxation.

Output
As for the uncorrected energy: -2.33 eV per atom. The energy above the lowest structure with this stoichiometry is 0.00 kcal/mol of atoms. As for the crystal system: tetragonal.

Cell and atoms, written as CIF:
```
data_Na2InGaH
_cell_length_a 4.635
_cell_length_b 4.635
_cell_length_c 4.624
_cell_angle_alpha 90.00
_cell_angle_beta 90.00
_cell_angle_gamma 90.00
_space_group_name_H-M_alt 'P 4/m m m'
_space_group_IT_number 123
_space_group_name_Hall '-P 4 2'
loop_
_atom_site_label
_atom_site_type_symbol
_atom_site_fract_x
_atom_site_fract_y
_atom_site_fract_z
Na1 Na 0.000 0.500 0.000
In1 In 0.000 0.000 0.500
Ga1 Ga 0.500 0.500 0.500
H1 H 0.500 0.500 0.000
```

Record 2
VASP calculation (PBE) on NaIn2GaH after structural relaxation.

Output
As for the uncorrected energy: -2.54 eV per atom. As for the crystal system: tetragonal.

Cell and atoms, written as CIF:
```
data_NaIn2GaH
_cell_length_a 4.852
_cell_length_b 4.852
_cell_length_c 4.283
_cell_angle_alpha 90.00
_cell_angle_beta 90.00
_cell_angle_gamma 90.00
_space_group_name_H-M_alt 'P 4/m m m'
_space_group_IT_number 123
_space_group_name_Hall '-P 4 2'
loop_
_atom_site_label
_atom_site_type_symbol
_atom_site_fract_x
_atom_site_fract_y
_atom_site_fract_z
Na1 Na 0.000 0.000 0.000
In1 In 0.000 0.500 0.500
Ga1 Ga 0.500 0.500 0.000
H1 H 0.000 0.000 0.500
```

Record 3
VASP calculation (PBE) on InGaHPb2 after structural relaxation.

Output
As for the uncorrected energy: -3.08 eV per atom. The energy above the lowest structure with this stoichiometry is 0.77 kcal/mol of atoms. As for the crystal system: tetragonal.

Cell and atoms, written as CIF:
```
data_InGaHPb2
_cell_length_a 5.027
_cell_length_b 5.027
_cell_length_c 4.558
_cell_angle_alpha 90.00
_cell_angle_beta 90.00
_cell_angle_gamma 90.00
_space_group_name_H-M_alt 'P 4/m m m'
_space_group_IT_number 123
_space_group_name_Hall '-P 4 2'
loop_
_atom_site_label
_atom_site_type_symbol
_atom_site_fract_x
_atom_site_fract_y
_atom_site_fract_z
In1 In 0.000 0.000 0.000
Ga1 Ga 0.500 0.500 0.000
H1 H 0.500 0.500 0.500
Pb1 Pb 0.000 0.500 0.500
```

Record 4
VASP calculation (PBE) on InGaHPb2 after structural relaxation.

Output
As for the uncorrected energy: -3.12 eV per atom. The energy above the lowest structure with this stoichiometry is 0.00 kcal/mol of atoms. As for the crystal system: tetragonal.

Cell and atoms, written as CIF:
```
data_InGaHPb2
_cell_length_a 5.916
_cell_length_b 5.916
_cell_length_c 3.401
_cell_angle_alpha 90.00
_cell_angle_beta 90.00
_cell_angle_gamma 90.00
_space_group_name_H-M_alt 'P 4/m m m'
_space_group_IT_number 123
_space_group_name_Hall '-P 4 2'
loop_
_atom_site_label
_atom_site_type_symbol
_atom_site_fract_x
_atom_site_fract_y
_atom_site_fract_z
In1 In 0.000 0.000 0.000
Ga1 Ga 0.500 0.500 0.500
H1 H 0.500 0.500 0.000
Pb1 Pb 0.000 0.500 0.500
```

Record 5
VASP calculation (PBE) on RbIn2GaH after structural relaxation.

Output
As for the uncorrected energy: -1.70 eV per atom. As for the crystal system: tetragonal.

Cell and atoms, written as CIF:
```
data_RbIn2GaH
_cell_length_a 6.502
_cell_length_b 6.502
_cell_length_c 4.388
_cell_angle_alpha 90.00
_cell_angle_beta 90.00
_cell_angle_gamma 90.00
_space_group_name_H-M_alt 'P 4/m m m'
_space_group_IT_number 123
_space_group_name_Hall '-P 4 2'
loop_
_atom_site_label
_atom_site_type_symbol
_atom_site_fract_x
_atom_site_fract_y
_atom_site_fract_z
Rb1 Rb 0.000 0.000 0.000
In1 In 0.000 0.500 0.000
Ga1 Ga 0.500 0.500 0.500
H1 H 0.000 0.000 0.500
```

Record 6
VASP calculation (PBE) on In2GaSnH after structural relaxation.

Output
As for the uncorrected energy: -2.97 eV per atom. The energy above the lowest structure with this stoichiometry is 0.42 kcal/mol of atoms. As for the crystal system: tetragonal.

Cell and atoms, written as CIF:
```
data_In2GaSnH
_cell_length_a 4.901
_cell_length_b 4.901
_cell_length_c 4.427
_cell_angle_alpha 90.00
_cell_angle_beta 90.00
_cell_angle_gamma 90.00
_space_group_name_H-M_alt 'P 4/m m m'
_space_group_IT_number 123
_space_group_name_Hall '-P 4 2'
loop_
_atom_site_label
_atom_site_type_symbol
_atom_site_fract_x
_atom_site_fract_y
_atom_site_fract_z
In1 In 0.000 0.500 0.000
Ga1 Ga 0.000 0.000 0.500
Sn1 Sn 0.500 0.500 0.500
H1 H 0.000 0.000 0.000
```

Record 7
VASP calculation (PBE) on In2GaSnH after structural relaxation.

Output
As for the uncorrected energy: -2.99 eV per atom. The energy above the lowest structure with this stoichiometry is 0.00 kcal/mol of atoms. As for the crystal system: tetragonal.

Cell and atoms, written as CIF:
```
data_In2GaSnH
_cell_length_a 5.617
_cell_length_b 5.617
_cell_length_c 3.465
_cell_angle_alpha 90.00
_cell_angle_beta 90.00
_cell_angle_gamma 90.00
_space_group_name_H-M_alt 'P 4/m m m'
_space_group_IT_number 123
_space_group_name_Hall '-P 4 2'
loop_
_atom_site_label
_atom_site_type_symbol
_atom_site_fract_x
_atom_site_fract_y
_atom_site_fract_z
In1 In 0.000 0.500 0.000
Ga1 Ga 0.000 0.000 0.000
Sn1 Sn 0.500 0.500 0.500
H1 H 0.000 0.000 0.500
```

Record 8
VASP calculation (PBE) on TlIn2GaH after structural relaxation.

Output
As for the uncorrected energy: -2.62 eV per atom. The energy above the lowest structure with this stoichiometry is 1.17 kcal/mol of atoms. As for the crystal system: tetragonal.

Cell and atoms, written as CIF:
```
data_TlIn2GaH
_cell_length_a 4.944
_cell_length_b 4.944
_cell_length_c 4.470
_cell_angle_alpha 90.00
_cell_angle_beta 90.00
_cell_angle_gamma 90.00
_space_group_name_H-M_alt 'P 4/m m m'
_space_group_IT_number 123
_space_group_name_Hall '-P 4 2'
loop_
_atom_site_label
_atom_site_type_symbol
_atom_site_fract_x
_atom_site_fract_y
_atom_site_fract_z
Tl1 Tl 0.000 0.000 0.000
In1 In 0.000 0.500 0.500
Ga1 Ga 0.500 0.500 0.000
H1 H 0.500 0.500 0.500
```

Record 9
VASP calculation (PBE) on TlIn2GaH after structural relaxation.

Output
As for the uncorrected energy: -2.67 eV per atom. The energy above the lowest structure with this stoichiometry is 0.00 kcal/mol of atoms. As for the crystal system: tetragonal.

Cell and atoms, written as CIF:
```
data_TlIn2GaH
_cell_length_a 5.729
_cell_length_b 5.729
_cell_length_c 3.439
_cell_angle_alpha 90.00
_cell_angle_beta 90.00
_cell_angle_gamma 90.00
_space_group_name_H-M_alt 'P 4/m m m'
_space_group_IT_number 123
_space_group_name_Hall '-P 4 2'
loop_
_atom_site_label
_atom_site_type_symbol
_atom_site_fract_x
_atom_site_fract_y
_atom_site_fract_z
Tl1 Tl 0.000 0.000 0.000
In1 In 0.000 0.500 0.500
Ga1 Ga 0.500 0.500 0.500
H1 H 0.500 0.500 0.000
```

Record 10
VASP calculation (PBE) on GaHIr after structural relaxation.

Output
As for the uncorrected energy: -5.20 eV per atom. The energy above the lowest structure with this stoichiometry is 1.39 kcal/mol of atoms. As for the crystal system: triclinic.

Cell and atoms, written as CIF:
```
data_GaHIr
_cell_length_a 3.029
_cell_length_b 4.859
_cell_length_c 4.972
_cell_angle_alpha 90.05
_cell_angle_beta 107.66
_cell_angle_gamma 90.02
_space_group_name_H-M_alt 'P -1'
_space_group_IT_number 2
loop_
_space_group_symop_operation_xyz
'x,y,z'
'-x,-y,-z'
loop_
_atom_site_label
_atom_site_type_symbol
_atom_site_fract_x
_atom_site_fract_y
_atom_site_fract_z
Ga1 Ga 0.089 0.250 0.181
H1 H 0.410 0.252 0.824
Ir1 Ir 0.188 0.750 0.372
```

Record 11
VASP calculation (PBE) on GaH3Ir after structural relaxation.

Output
As for the uncorrected energy: -3.29 eV per atom. The energy above the lowest structure with this stoichiometry is 20.49 kcal/mol of atoms. As for the crystal system: cubic.

Cell and atoms, written as CIF:
```
data_GaH3Ir
_cell_length_a 3.513
_cell_length_b 3.513
_cell_length_c 3.513
_cell_angle_alpha 90.00
_cell_angle_beta 90.00
_cell_angle_gamma 90.00
_space_group_name_H-M_alt 'P m -3 m'
_space_group_IT_number 221
_space_group_name_Hall '-P 4 2 3'
loop_
_atom_site_label
_atom_site_type_symbol
_atom_site_fract_x
_atom_site_fract_y
_atom_site_fract_z
Ga1 Ga 0.000 0.000 0.000
H1 H 0.000 0.000 0.500
Ir1 Ir 0.500 0.500 0.500
```

Record 12
VASP calculation (PBE) on Ga2H8Ir after structural relaxation.

Output
As for the uncorrected energy: -3.54 eV per atom. As for the crystal system: monoclinic.

Cell and atoms, written as CIF:
```
data_Ga2H8Ir
_cell_length_a 9.259
_cell_length_b 4.797
_cell_length_c 6.155
_cell_angle_alpha 90.00
_cell_angle_beta 105.98
_cell_angle_gamma 90.00
_space_group_name_H-M_alt 'C 1 2/m 1'
_space_group_IT_number 12
loop_
_space_group_symop_operation_xyz
'x,y,z'
'-x,-y,-z'
'-x,y,-z'
'x,-y,z'
'x+1/2,y+1/2,z'
'-x+1/2,-y+1/2,-z'
'-x+1/2,y+1/2,-z'
'x+1/2,-y+1/2,z'
loop_
_atom_site_label
_atom_site_type_symbol
_atom_site_fract_x
_atom_site_fract_y
_atom_site_fract_z
Ga1 Ga 0.235 0.000 0.317
H1 H 0.104 0.500 0.712
H2 H 0.105 0.269 0.134
H3 H 0.206 0.000 0.561
Ir1 Ir 0.000 0.000 0.000
```